Na2FeCuF6: relaxed, PBE+U.

Summary:
total DFT energy (no corrections)	-93.625	eV per cell
symmetry	P-1 (2)

Cell: 5.5005 5.7211 7.9740 Å, 89.86 89.84 88.46°
Atoms (fractional coordinates):
Na  0.0062  0.0543  0.2617
Na  0.4732  0.5611  0.2560
Na  0.5268  0.4389  0.7440
Na  0.9938  0.9457  0.7383
Fe  0.0000  0.5000  0.0000
Fe  0.5000  0.0000  0.5000
Cu  0.0000  0.5000  0.5000
Cu  0.5000  0.0000  0.0000
F  0.1306  0.5560  0.7756
F  0.1679  0.7761  0.0789
F  0.2012  0.8085  0.4559
F  0.2904  0.3052  0.0628
F  0.2945  0.3082  0.4435
F  0.3985  0.0470  0.7586
F  0.6015  0.9530  0.2414
F  0.7055  0.6918  0.5565
F  0.7096  0.6948  0.9372
F  0.7988  0.1915  0.5441
F  0.8321  0.2239  0.9211
F  0.8694  0.4440  0.2244